Here is a geometry-optimized AlCoO3 structure from OQMD via LeMat-Bulk. Energies are from PBE with a Hubbard U.

abc: 3.6040 3.6040 3.6040
angles: 90.00 90.00 90.00
With the nearest neighbours (Å) after each atom.
Element x y z (fractional)
Al (0.0000, 0.0000, 0.0000)  12 O 2.55
O (0.5000, 0.5000, 0.0000)  2 Co 1.80
O (0.0000, 0.5000, 0.5000)  2 Co 1.80
O (0.5000, 0.0000, 0.5000)  2 Co 1.80
Co (0.5000, 0.5000, 0.5000)  6 O 1.80

Values from the calculation:
Uncorrected energy (eV per atom): -5.424